This record from the Alexandria database describes SrAsSCl2 after structural relaxation. The functional is GGA-PBEsol.

Properties
E_tot = -4.02 eV/atom
crystal system = tetragonal
formation energy (no corrections) = -0.9531 eV/atom
volume = 24.87 A^3/atom

Cell: 5.0296 5.0296 4.9150 Å, 90.00 90.00 90.00°
Space group P4/mmm (No. 123)
One atom of each set of equivalent atoms:
Sr (0.0000, 0.0000, 0.0000)
As (0.5000, 0.5000, 0.5000)
S (0.5000, 0.5000, 0.0000)
Cl (0.0000, 0.5000, 0.5000)

This record from the Alexandria database describes ZrAsSCl2 after structural relaxation. The functional is GGA-PBEsol.

Properties
E_tot = -4.29 eV/atom
crystal system = tetragonal
formation energy (no corrections) = 0.2338 eV/atom
volume = 22.50 A^3/atom

Cell: 4.8335 4.8335 4.8158 Å, 90.00 90.00 90.00°
Space group P4/mmm (No. 123)
One atom of each set of equivalent atoms:
Zr (0.0000, 0.0000, 0.0000)
As (0.5000, 0.5000, 0.5000)
S (0.5000, 0.5000, 0.0000)
Cl (0.0000, 0.5000, 0.5000)

This record from the Alexandria database describes SbAs2Cl after structural relaxation. The functional is GGA-PBEsol.

Properties
E_tot = -4.26 eV/atom
crystal system = monoclinic
formation energy (no corrections) = -0.0640 eV/atom
offset from the most stable computed form = 0 meV/atom
volume = 24.42 A^3/atom

Cell: 3.6987 5.2314 5.3523 Å, 90.00 109.42 90.00°
Space group P2/m (No. 10)
One atom of each set of equivalent atoms:
Sb (0.0000, 0.0000, 0.0000)
As (0.1767, 0.5000, 0.8326)
Cl (0.5000, 0.0000, 0.5000)

This record from the Alexandria database describes Sb2AsCl after structural relaxation. The functional is GGA-PBEsol.

Properties
E_tot = -3.89 eV/atom
crystal system = orthorhombic
formation energy (no corrections) = 0.1622 eV/atom
volume = 22.46 A^3/atom

Cell: 7.3795 7.4236 3.2793 Å, 90.00 90.00 90.00°
Space group Cmmm (No. 65)
One atom of each set of equivalent atoms:
Sb (0.2500, 0.2500, 0.0000)
As (0.0000, 0.0000, 0.5000)
Cl (0.0000, 0.5000, 0.5000)

This record from the Alexandria database describes Sb3AsCl after structural relaxation. The functional is GGA-PBEsol.

Properties
E_tot = -3.57 eV/atom
crystal system = cubic
formation energy (no corrections) = 0.5836 eV/atom
volume = 30.59 A^3/atom

Cell: 5.3481 5.3481 5.3481 Å, 90.00 90.00 90.00°
Space group Pm-3m (No. 221)
One atom of each set of equivalent atoms:
Sb (0.0000, 0.0000, 0.5000)
As (0.0000, 0.0000, 0.0000)
Cl (0.5000, 0.5000, 0.5000)

This record from the Alexandria database describes SbAs2Cl after structural relaxation. The functional is GGA-PBEsol.

Properties
E_tot = -4.05 eV/atom
crystal system = trigonal
formation energy (no corrections) = 0.1450 eV/atom
offset from the most stable computed form = 209 meV/atom
volume = 22.94 A^3/atom

Cell: 4.0461 4.0461 19.4161 Å, 90.00 90.00 120.00°
Space group R-3m (No. 166, hexagonal axes)
One atom of each set of equivalent atoms:
Sb (0.0000, 0.0000, 0.0000)
As (0.0000, 0.0000, 0.2545)
Cl (0.0000, 0.0000, 0.5000)

This record from the Alexandria database describes SbAs2Cl after structural relaxation. The functional is GGA-PBEsol.

Properties
E_tot = -4.07 eV/atom
crystal system = tetragonal
formation energy (no corrections) = 0.1258 eV/atom
offset from the most stable computed form = 190 meV/atom
volume = 22.06 A^3/atom

Cell: 3.5949 3.5949 6.8286 Å, 90.00 90.00 90.00°
Space group P4/mmm (No. 123)
One atom of each set of equivalent atoms:
Sb (0.0000, 0.0000, 0.0000)
As (0.5000, 0.5000, 0.2035)
Cl (0.0000, 0.0000, 0.5000)

This record from the Alexandria database describes SbAsCl4 after structural relaxation. The functional is GGA-PBEsol.

Properties
E_tot = -2.31 eV/atom
crystal system = cubic
formation energy (no corrections) = 0.6426 eV/atom
volume = 20.85 A^3/atom

Cell: 7.9386 7.9386 7.9386 Å, 90.00 90.00 90.00°
Space group F-43m (No. 216)
One atom of each set of equivalent atoms:
Sb (0.0000, 0.0000, 0.0000)
As (0.2500, 0.2500, 0.2500)
Cl (0.1246, 0.1246, 0.6246)